[1]
Computed, not measured: an optimized crystal structure of LaAg2Hg at the PBE level of DFT.

```
LaAg2Hg
1.0
4.2759 -2.4747 0.0000
4.2759 2.4747 0.0000
-2.8440 0.0000 4.6134
La Ag Hg
1 2 1
Cartesian
0.0000 0.0000 0.0000
0.0034 0.0000 3.1447
2.8527 0.0000 2.5717
5.7007 0.0000 1.4311
```

* formation energy: -0.28 eV/atom
* VASP energy: -12.040 eV for the cell shown
* density: 9.44 g cm⁻³
* DOS(E_F): 3.13 states/eV/f.u.
* spin magnetization: 0.0 Bohr magnetons per cell

[2]
Computed, not measured: an optimized crystal structure of LiCo3W at the PBE level of DFT.

```
LiCo3W
1.0
4.4897 0.0000 0.0000
0.0000 4.4897 0.0000
0.0000 0.0000 4.4897
Li Co W
1 3 1
Cartesian
0.0000 0.0000 0.0000
0.0000 2.2448 2.2448
2.2448 0.0000 2.2448
2.2448 2.2448 0.0000
2.2448 2.2448 2.2448
```

* formation energy: 1.29 eV/atom
* VASP energy: -29.757 eV for the cell shown
* density: 6.74 g cm⁻³
* DOS(E_F): 8.74 states/eV/f.u.
* energy relative to the lowest polymorph listed for this composition: 483 meV per atom
* spin magnetization: 1.5 Bohr magnetons per cell